Entry from Alexandria: a relaxed BaLiSnBiO6 crystal (PBE).

Output
Formation energy (no corrections) ... -1.52 eV per atom
Total moment ... 0.00 μB/f.u.

Cell lengths 8.3956, 8.3956, 8.3956 Å; angles 90.00, 90.00, 90.00 degrees
With the nearest neighbours (Å) after each atom.
Space group F-43m (No. 216)
Unique sites:
Ba 0.0000 0.0000 0.0000 [4 per cell]  12 O 2.97
Li 0.0000 0.0000 0.5000 [4 per cell]  12 O 2.97
Sn 0.2500 0.2500 0.2500 [4 per cell]  6 O 2.07
Bi 0.2500 0.2500 0.7500 [4 per cell]  6 O 2.13
O 0.0033 0.2500 0.2500 [24 per cell]  1 Sn 2.07, 1 Bi 2.13

=====

Entry from Alexandria: a relaxed BaLiZrBiO6 crystal (PBE).

Output
Formation energy (no corrections) ... -2.09 eV per atom
Total moment ... 0.00 μB/f.u.

Cell lengths 8.4294, 8.4294, 8.4294 Å; angles 90.00, 90.00, 90.00 degrees
With the nearest neighbours (Å) after each atom.
Space group F-43m (No. 216)
Unique sites:
Ba 0.0000 0.0000 0.0000 [4 per cell]  12 O 2.98
Li 0.0000 0.0000 0.5000 [4 per cell]  12 O 2.98
Zr 0.2500 0.2500 0.2500 [4 per cell]  6 O 2.10
Bi 0.2500 0.2500 0.7500 [4 per cell]  6 O 2.12
O 0.0011 0.2500 0.2500 [24 per cell]  1 Zr 2.10, 1 Bi 2.12

=====

Entry from Alexandria: a relaxed Ba2LiBiP crystal (PBE).

Output
Total moment ... 0.00 μB/f.u.
ΔE_f ... -0.74 eV/atom

Cell lengths 6.2879, 6.2879, 4.6498 Å; angles 90.00, 90.00, 90.00 degrees
With the nearest neighbours (Å) after each atom.
Space group P4/mmm (No. 123)
Unique sites:
Ba 0.0000 0.5000 0.0000 [2 per cell]  2 P 3.14
Li 0.0000 0.0000 0.5000 [1 per cell]  2 P 2.32
Bi 0.5000 0.5000 0.5000 [1 per cell]  8 Ba 3.91
P 0.0000 0.0000 0.0000 [1 per cell]  2 Li 2.32

=====

Entry from Alexandria: a relaxed Ba2LiPaBi6 crystal (PBE).

Output
Total moment ... 0.00 μB/f.u.
ΔE_f ... -0.36 eV/atom

Cell lengths 7.2093, 7.2222, 9.8571 Å; angles 68.78, 68.67, 60.13 degrees
With the nearest neighbours (Å) after each atom.
Space group P-1 (No. 2)
Unique sites:
Ba 0.2081 0.2088 0.3734 [2 per cell]  9 Bi 3.75-3.84
Li 0.0000 0.0000 0.0000 [1 per cell]  6 Bi 2.99-3.00
Pa 0.5000 0.5000 0.5000 [1 per cell]  6 Bi 3.13
Bi 0.2220 0.7595 0.2557 [2 per cell]  1 Li 2.99, 1 Pa 3.13, 2 Bi 3.32-3.34
Bi 0.2392 0.2398 0.7446 [2 per cell]  1 Li 3.00, 1 Pa 3.13, 2 Bi 3.32-3.34
Bi 0.2395 0.7780 0.7439 [2 per cell]  1 Li 2.99, 1 Pa 3.13, 2 Bi 3.34

=====

Entry from Alexandria: a relaxed BaLiBi2Pb crystal (PBE).

Output
Total moment ... 0.00 μB/f.u.
ΔE_f ... -0.49 eV/atom
Relative energy among the computed polymorphs ... 0 meV per atom

Cell lengths 4.8218, 4.8218, 14.9356 Å; angles 90.00, 90.00, 90.00 degrees
With the nearest neighbours (Å) after each atom.
Space group I-4m2 (No. 119)
Unique sites:
Ba 0.0000 0.0000 0.0000 [2 per cell]  8 Bi 3.78
Li 0.0000 0.5000 0.7500 [2 per cell]  4 Bi 3.20, 4 Pb 3.41
Bi 0.0000 0.0000 0.3907 [4 per cell]  2 Pb 3.20, 2 Li 3.20, 1 Bi 3.27
Pb 0.0000 0.5000 0.2500 [2 per cell]  4 Bi 3.20, 4 Li 3.41

=====

Entry from Alexandria: a relaxed BaLiBi2Pb crystal (PBE).

Output
Total moment ... 0.00 μB/f.u.
ΔE_f ... -0.34 eV/atom
Relative energy among the computed polymorphs ... 150 meV per atom

Cell lengths 5.4731, 5.4731, 5.3505 Å; angles 90.00, 90.00, 90.00 degrees
With the nearest neighbours (Å) after each atom.
Space group P4/mmm (No. 123)
Unique sites:
Ba 0.0000 0.0000 0.0000 [1 per cell]  8 Bi 3.83, 4 Pb 3.87
Li 0.5000 0.5000 0.5000 [1 per cell]  2 Pb 2.68, 4 Bi 2.74
Bi 0.0000 0.5000 0.5000 [2 per cell]  2 Li 2.74
Pb 0.5000 0.5000 0.0000 [1 per cell]  2 Li 2.68

=====

Entry from Alexandria: a relaxed Ba3Li2Bi4Pb2 crystal (PBE).

Output
Total moment ... 0.00 μB/f.u.
ΔE_f ... -0.61 eV/atom

Cell lengths 4.9774, 4.9774, 19.0828 Å; angles 90.00, 90.00, 120.00 degrees
With the nearest neighbours (Å) after each atom.
Space group P-3m1 (No. 164)
Unique sites:
Ba 0.0000 0.0000 0.0000 [1 per cell]  6 Bi 3.70, 6 Li 3.74
Ba 0.0000 0.0000 0.2458 [2 per cell]  6 Bi 3.56-3.72, 3 Li 3.68
Li 0.3333 0.6667 0.1255 [2 per cell]  3 Bi 2.87
Bi 0.3333 0.6667 0.3563 [2 per cell]  3 Pb 3.22, 3 Ba 3.56
Bi 0.3333 0.6667 0.8777 [2 per cell]  3 Li 2.87
Pb 0.3333 0.6667 0.5678 [2 per cell]  3 Bi 3.22

=====

Entry from Alexandria: a relaxed BaLi2BiPb crystal (PBE).

Output
Total moment ... 0.00 μB/f.u.
ΔE_f ... -0.24 eV/atom

Cell lengths 5.2485, 5.2485, 6.3141 Å; angles 90.00, 90.00, 90.00 degrees
With the nearest neighbours (Å) after each atom.
Space group P4/mmm (No. 123)
Unique sites:
Ba 0.0000 0.0000 0.0000 [1 per cell]  4 Bi 3.71, 8 Li 4.11
Li 0.0000 0.5000 0.5000 [2 per cell]  2 Pb 2.62
Bi 0.5000 0.5000 0.0000 [1 per cell]  2 Pb 3.16
Pb 0.5000 0.5000 0.5000 [1 per cell]  4 Li 2.62